{
  "formula": "HfVCr4",
  "functional": "GGA-PBE",
  "state": "relaxed",
  "cell": [[-3.6757, 2.2731, -2.2797], [-4.5846, -1.5920, 0.5681], [-3.2046, 2.6466, 2.5694]],
  "species": ["V", "Cr", "Cr", "Cr", "Hf", "Cr"],
  "frac_coords": [[0.0000, 0.0000, 0.0000], [0.6254, 0.6254, 0.6254], [0.6254, 0.1239, 0.6254], [0.1239, 0.6254, 0.6254], [0.2500, 0.2500, 0.2500], [0.6254, 0.6254, 0.1239]],
  "formation_enthalpy_0k_ev_per_atom": -0.04,
  "total_magnetization_mub_per_cell": 0.00,
  "sg": "F-43m, No. 216"
}


{
  "formula": "Er2Zn5PdRu2",
  "functional": "GGA-PBE",
  "state": "relaxed",
  "cell": [[3.8596, 0.0000, 0.0000], [0.0000, 9.4702, 0.0000], [0.0000, 0.0000, 9.4702]],
  "species": ["Er", "Zn", "Zn", "Ru", "Ru", "Zn", "Zn", "Zn", "Er", "Pd", "Zn", "Zn", "Ru", "Pd", "Er", "Zn", "Ru", "Er", "Zn", "Zn"],
  "frac_coords": [[0.0000, 0.1741, 0.3259], [0.5000, 0.1957, 0.0574], [0.5000, 0.4426, 0.3043], [0.0000, 0.3728, 0.1272], [0.0000, 0.6272, 0.8728], [0.5000, 0.0000, 0.5000], [0.5000, 0.5574, 0.6957], [0.5000, 0.3043, 0.5574], [0.0000, 0.6741, 0.1741], [0.0000, 0.5000, 0.5000], [0.5000, 0.0574, 0.8043], [0.5000, 0.5000, 0.0000], [0.0000, 0.1272, 0.6272], [0.0000, 0.0000, 0.0000], [0.0000, 0.3259, 0.8259], [0.5000, 0.6957, 0.4426], [0.0000, 0.8728, 0.3728], [0.0000, 0.8259, 0.6741], [0.5000, 0.8043, 0.9426], [0.5000, 0.9426, 0.1957]],
  "formation_enthalpy_0k_ev_per_atom": -0.29,
  "total_magnetization_mub_per_cell": 0.00,
  "sg": "P4/mbm, No. 127"
}


{
  "formula": "PmNdGaSn",
  "functional": "GGA-PBE",
  "state": "relaxed",
  "cell": [[4.6014, 0.0000, 0.0000], [0.0000, 4.2660, 0.0000], [-2.3007, 0.0000, 5.7543]],
  "species": ["Ga", "Sn", "Nd", "Pm"],
  "frac_coords": [[0.4161, 0.0000, 0.8322], [0.5766, 0.5000, 0.1532], [0.1438, 0.0000, 0.2876], [0.8635, 0.5000, 0.7270]],
  "formation_enthalpy_0k_ev_per_atom": -0.71,
  "total_magnetization_mub_per_cell": 0.00,
  "sg": "Amm2, No. 38"
}


{
  "formula": "Y2GeIrC",
  "functional": "GGA-PBE",
  "state": "relaxed",
  "cell": [[-1.7688, 1.8448, -4.2767], [4.0821, -1.5886, -2.3736], [-1.7615, -3.4143, -0.7442]],
  "species": ["Y", "Ge", "Ir", "C", "Y"],
  "frac_coords": [[0.5000, 0.0000, 0.0000], [0.5000, 0.5000, 0.5000], [0.0000, 0.0000, 0.5000], [0.0000, 0.0000, 0.0000], [0.0000, 0.5000, 0.0000]],
  "formation_enthalpy_0k_ev_per_atom": -0.55,
  "total_magnetization_mub_per_cell": 0.00,
  "sg": "P4/mmm, No. 123"
}


{
  "formula": "MgBH2O4",
  "functional": "GGA-PBE",
  "state": "relaxed",
  "cell": [[3.9867, 0.0000, 0.0000], [1.9934, 3.8370, -0.1704], [1.9934, 0.1447, 3.8381]],
  "species": ["O", "H", "O", "O", "H", "O", "Mg", "B"],
  "frac_coords": [[0.9096, 0.4574, 0.2064], [0.8267, 0.6733, 0.6733], [0.4266, 0.2064, 0.4574], [0.0904, 0.7936, 0.5426], [0.1733, 0.3267, 0.3267], [0.5735, 0.5426, 0.7936], [0.0000, 0.0000, 0.0000], [0.5000, 0.5000, 0.5000]],
  "total_magnetization_mub_per_cell": 1.00,
  "sg": "I222, No. 23",
  "dft_energy_ev_per_atom": -5.853
}


{
  "formula": "SrMg2GaCo",
  "functional": "GGA-PBE",
  "state": "relaxed",
  "cell": [[4.9153, 0.0000, 0.0000], [0.0000, 4.9153, 0.0000], [0.0000, 0.0000, 4.6963]],
  "species": ["Mg", "Co", "Mg", "Sr", "Ga"],
  "frac_coords": [[0.5000, 0.0000, 0.0000], [0.0000, 0.0000, 0.0000], [0.0000, 0.5000, 0.0000], [0.5000, 0.5000, 0.5000], [0.0000, 0.0000, 0.5000]],
  "formation_enthalpy_0k_ev_per_atom": -0.13,
  "total_magnetization_mub_per_cell": 0.00,
  "sg": "P4/mmm, No. 123"
}


{
  "formula": "Np2SbH",
  "functional": "GGA-PBE",
  "state": "relaxed",
  "cell": [[-2.2461, -0.5383, 2.1638], [0.7600, -1.3160, 2.7762], [0.8516, 7.2257, 4.9962]],
  "species": ["Sb", "Np", "Np", "H"],
  "frac_coords": [[0.5000, 0.5000, 0.5000], [0.7281, 0.7281, 0.8158], [0.2719, 0.2719, 0.1842], [0.0000, 0.0000, 0.0000]],
  "total_magnetization_mub_per_cell": 7.79,
  "sg": "R-3m, No. 166",
  "dft_energy_ev_per_atom": -8.220
}


{
  "formula": "FeCo4Ag",
  "functional": "GGA-PBE",
  "state": "relaxed",
  "cell": [[0.9758, -0.5966, 4.6053], [-0.1941, 3.6997, 2.9650], [-3.4761, 0.2819, 3.2178]],
  "species": ["Co", "Co", "Co", "Fe", "Ag", "Co"],
  "frac_coords": [[0.3754, 0.8738, 0.3754], [0.8738, 0.3754, 0.3754], [0.3754, 0.3754, 0.8738], [0.7500, 0.7500, 0.7500], [0.0000, 0.0000, 0.0000], [0.3754, 0.3754, 0.3754]],
  "formation_enthalpy_0k_ev_per_atom": 0.23,
  "total_magnetization_mub_per_cell": 9.92,
  "sg": "F-43m, No. 216"
}


no.,V (Å³ per cell)
1,82.5
2,346.1
3,113.0
4,97.1
5,58.8
6,113.5
7,74.9
8,75.6